[1]
# Nd4C2I | the Alexandria database | PBE | relaxed
data_Nd4C2I
_chemical_formula_sum 'Nd12 C6 I3'
_cell_length_a 3.7965
_cell_length_b 3.7965
_cell_length_c 43.6733
_cell_angle_alpha 90.00
_cell_angle_beta 90.00
_cell_angle_gamma 120.00
_space_group_name_H-M_alt 'R -3 m'
_space_group_IT_number 166
_space_group_name_Hall '-R 3 2"'
loop_
_atom_site_label
_atom_site_fract_x
_atom_site_fract_y
_atom_site_fract_z
Nd1 0.0000 0.0000 0.1229
Nd2 0.0000 0.0000 0.2739
C1 0.0000 0.0000 0.4238
I1 0.0000 0.0000 0.0000
# Fermi-level density of states in states/eV/f.u.: 4.57
# Total magnetization in μB/cell: 0.000
# E_tot in eV per atom: -6.00
# ρ in g/cm³: 6.7

---

[2]
# Ba3Sn4Au2 | the Alexandria database | PBE | relaxed
data_Ba3Sn4Au2
_chemical_formula_sum 'Ba6 Sn8 Au4'
_cell_length_a 12.137
_cell_length_b 5.020
_cell_length_c 9.763
_cell_angle_alpha 90.00
_cell_angle_beta 101.87
_cell_angle_gamma 90.00
_space_group_name_H-M_alt 'C 1 2/m 1'
_space_group_IT_number 12
_space_group_name_Hall '-C 2y'
loop_
_atom_site_label
_atom_site_fract_x
_atom_site_fract_y
_atom_site_fract_z
Ba1 0.000 0.000 0.000
Ba2 0.128 0.500 0.694
Sn1 0.105 0.000 0.430
Sn2 0.210 0.500 0.066
Au1 0.171 0.500 0.341
# Fermi-level density of states in states/eV/f.u.: 4.27
# Total magnetization in μB/cell: 0.000
# ρ in g/cm³: 7.3
# ΔE_f in meV/atom: -641

---

[3]
# K3Mg2H8 | the Alexandria database | PBE | relaxed
data_K3Mg2H8
_chemical_formula_sum 'K9 Mg6 H24'
_cell_length_a 5.8816
_cell_length_b 5.8816
_cell_length_c 21.4492
_cell_angle_alpha 90.00
_cell_angle_beta 90.00
_cell_angle_gamma 120.00
_space_group_name_H-M_alt 'R -3 m'
_space_group_IT_number 166
_space_group_name_Hall '-R 3 2"'
loop_
_atom_site_label
_atom_site_fract_x
_atom_site_fract_y
_atom_site_fract_z
K1 0.0000 0.0000 0.0000
K2 0.0000 0.0000 0.2030
Mg1 0.0000 0.0000 0.4088
H1 0.0000 0.0000 0.3228
H2 0.0085 0.5043 0.7704
# Fermi-level density of states in states/eV/f.u.: 5.71
# Total magnetization in μB/cell: 3.190
# E_tot in eV per atom: -2.57
# ρ in g/cm³: 1.3

---

> Fermi-level density of states of number 1 (Nd4C2I)?

4.57 states/eV/f.u.

---

> The highest total magnetization belongs to which entry?

K3Mg2H8

---

> Which of these has the highest total magnetization?

K3Mg2H8

---

> Number 2 is which compound?

Ba3Sn4Au2